# 1
Material: Ba3Pb
Method: DFT, PBE
State: optimized geometry Values from VASP.

The structure in Quantum ESPRESSO input format:
```
&SYSTEM
  ibrav = 0, nat = 8, ntyp = 2
/
ATOMIC_SPECIES
Ba 137.33 Ba.upf
Pb 207.20 Pb.upf
CELL_PARAMETERS angstrom
-0.013 -1.727 -5.693
-0.736 -7.528 2.286
-7.877 0.710 -0.198
ATOMIC_POSITIONS crystal
Ba 0.000 0.154 0.741
Ba 0.000 0.154 0.259
Ba 0.500 0.846 0.241
Ba 0.500 0.406 0.000
Ba 0.000 0.594 0.500
Ba 0.500 0.846 0.759
Pb 0.000 0.695 0.000
Pb 0.500 0.305 0.500
```

***

# 2
Material: BaPb3
Method: DFT, PBE
State: optimized geometry Values from VASP.

The structure in Quantum ESPRESSO input format:
```
&SYSTEM
  ibrav = 0, nat = 8, ntyp = 2
/
ATOMIC_SPECIES
Pb 207.20 Pb.upf
Ba 137.33 Ba.upf
CELL_PARAMETERS angstrom
-3.326 4.580 -1.882
-4.368 -4.318 -2.790
-3.707 -0.188 6.094
ATOMIC_POSITIONS crystal
Pb 0.000 0.857 0.766
Pb 0.500 0.143 0.734
Pb 0.000 0.857 0.234
Pb 0.500 0.756 0.000
Pb 0.500 0.143 0.266
Pb 0.000 0.244 0.500
Ba 0.500 0.631 0.500
Ba 0.000 0.369 0.000
```

***

# 3
Material: BaPb2
Method: DFT, PBE
State: optimized geometry Values from VASP.

The structure in Quantum ESPRESSO input format:
```
&SYSTEM
  ibrav = 0, nat = 6, ntyp = 2
/
ATOMIC_SPECIES
Pb 207.20 Pb.upf
Ba 137.33 Ba.upf
CELL_PARAMETERS angstrom
-5.843 -3.243 0.222
-3.414 -3.824 -4.292
1.075 -7.357 1.526
ATOMIC_POSITIONS crystal
Pb 0.698 0.698 0.104
Pb 0.029 0.029 0.489
Pb 0.312 0.312 0.224
Pb 0.379 0.379 0.765
Ba 0.027 0.027 0.002
Ba 0.722 0.722 0.583
```

***

# 4
Material: BaPb
Method: DFT, PBE
State: optimized geometry Values from VASP.

The structure in Quantum ESPRESSO input format:
```
&SYSTEM
  ibrav = 0, nat = 4, ntyp = 2
/
ATOMIC_SPECIES
Pb 207.20 Pb.upf
Ba 137.33 Ba.upf
CELL_PARAMETERS angstrom
-2.336 3.753 4.328
-3.736 -3.794 -3.149
0.997 -5.098 4.960
ATOMIC_POSITIONS crystal
Pb 0.667 0.333 0.250
Pb 0.333 0.667 0.750
Ba 0.333 0.667 0.250
Ba 0.667 0.333 0.750
```

***

no.,formation energy from the elements (eV per atom)
1,-0.281
2,-0.315
3,-0.391
4,0.065